Model A:
VASP calculation (GGA-PBE) on a relaxed Sm8Dy4Er3 crystal.

Volume = 1492.6 Å³ per cell
Fermi-level density of states = 1.62 states/eV/atom

Lattice parameters (Å, degrees): 6.9667 6.9667 35.5112 90.00 90.00 120.00
Space group R-3m (No. 166, hexagonal axes)
Symmetry-distinct sites (fractional):
1 Sm 0.0000 0.0000 0.2453 x6
2 Sm 0.0016 0.5008 0.7507 x18
3 Dy 0.0000 0.0000 0.0000 x3
4 Dy 0.0000 0.0000 0.3360 x6
5 Dy 0.0000 0.0000 0.5000 x3
6 Er 0.0000 0.5000 0.5000 x9

---

Model B:
VASP calculation (GGA-PBE) on a relaxed Sm8Dy4Er3 crystal.

Volume = 999.4 Å³ per cell
Fermi-level density of states = 1.58 states/eV/atom

Lattice parameters (Å, degrees): 13.636 12.108 6.846 90.00 117.85 90.00
Space group C2/m (No. 12)
Symmetry-distinct sites (fractional):
1 Sm 0.000 0.204 0.000 x4
2 Sm 0.000 0.252 0.500 x4
3 Sm 0.202 0.000 0.172 x4
4 Sm 0.245 0.500 0.291 x4
5 Dy 0.000 0.500 0.000 x2
6 Dy 0.000 0.500 0.500 x2
7 Dy 0.250 0.250 0.000 x4
8 Er 0.000 0.000 0.500 x2
9 Er 0.250 0.250 0.500 x4

---

Which structure is the least stable? The one labeled model B.

---

Model A:
VASP calculation (GGA-PBE) on a relaxed SrDy2Er crystal.

Volume = 141.2 Å³ per cell
Fermi-level density of states = 1.37 states/eV/atom

Lattice parameters (Å, degrees): 3.660 3.660 10.544 90.00 90.00 90.00
Space group P4/mmm (No. 123)
Symmetry-distinct sites (fractional):
1 Sr 0.000 0.000 0.000 x1
2 Dy 0.500 0.500 0.280 x2
3 Er 0.000 0.000 0.500 x1

---

Model B:
VASP calculation (GGA-PBE) on a relaxed SrDy2Er crystal.

Volume = 426.4 Å³ per cell
Fermi-level density of states = 1.38 states/eV/atom

Lattice parameters (Å, degrees): 3.5892 3.5892 38.2162 90.00 90.00 120.00
Space group R-3m (No. 166, hexagonal axes)
Symmetry-distinct sites (fractional):
1 Sr 0.0000 0.0000 0.0000 x3
2 Dy 0.0000 0.0000 0.0935 x6
3 Er 0.0000 0.0000 0.5000 x3

---

Which structure is the least stable? The one labeled model B.

---

Model A:
VASP calculation (GGA-PBE) on a relaxed TbDyEr2 crystal.

Volume = 369.5 Å³ per cell
Fermi-level density of states = 1.39 states/eV/atom

Lattice parameters (Å, degrees): 3.5220 3.5220 34.3985 90.00 90.00 120.00
Space group R-3m (No. 166, hexagonal axes)
Symmetry-distinct sites (fractional):
1 Tb 0.0000 0.0000 0.0000 x3
2 Dy 0.0000 0.0000 0.5000 x3
3 Er 0.0000 0.0000 0.2498 x6

---

Model B:
VASP calculation (GGA-PBE) on a relaxed TbDyEr2 crystal.

Volume = 371.5 Å³ per cell
Fermi-level density of states = 1.49 states/eV/atom

Lattice parameters (Å, degrees): 3.5496 3.5496 34.0483 90.00 90.00 120.00
Space group R3m (No. 160, hexagonal axes)
Symmetry-distinct sites (fractional):
1 Tb 0.0000 0.0000 0.0000 x3
2 Dy 0.0000 0.0000 0.8340 x3
3 Er 0.0000 0.0000 0.4172 x3
4 Er 0.0000 0.0000 0.5832 x3

---

Model C:
VASP calculation (GGA-PBE) on a relaxed TbDyEr2 crystal.

Volume = 502.3 Å³ per cell
Fermi-level density of states = 2.45 states/eV/atom

Lattice parameters (Å, degrees): 7.949 7.949 7.949 90.00 90.00 90.00
Space group Fm-3m (No. 225)
Symmetry-distinct sites (fractional):
1 Tb 0.000 0.000 0.000 x4
2 Dy 0.000 0.000 0.500 x4
3 Er 0.250 0.250 0.250 x8

---

Which structure is the least stable? The one labeled model C.

---

Model A:
VASP calculation (GGA-PBE) on a relaxed TbDyEr2 crystal.

Volume = 123.6 Å³ per cell
Fermi-level density of states = 1.46 states/eV/atom

Lattice parameters (Å, degrees): 4.984 4.984 4.974 90.00 90.00 90.00
Space group P4/mmm (No. 123)
Symmetry-distinct sites (fractional):
1 Tb 0.000 0.000 0.000 x1
2 Dy 0.500 0.500 0.000 x1
3 Er 0.000 0.500 0.500 x2

---

Model B:
VASP calculation (GGA-PBE) on a relaxed TbDyEr2 crystal.

Volume = 251.0 Å³ per cell
Fermi-level density of states = 1.69 states/eV/atom

Lattice parameters (Å, degrees): 3.602 11.189 6.227 90.00 90.00 90.00
Space group Imm2 (No. 44)
Symmetry-distinct sites (fractional):
1 Tb 0.000 0.000 0.000 x2
2 Dy 0.000 0.500 0.000 x2
3 Er 0.000 0.250 0.667 x4

---

Which structure is the least stable? The one labeled model A.

---

Model A:
VASP calculation (GGA-PBE) on a relaxed Tb6DyEr crystal.

Volume = 252.0 Å³ per cell
Fermi-level density of states = 1.56 states/eV/atom

Lattice parameters (Å, degrees): 5.014 5.014 10.027 90.00 90.00 90.00
Space group P4/mmm (No. 123)
Symmetry-distinct sites (fractional):
1 Tb 0.000 0.000 0.000 x1
2 Tb 0.000 0.000 0.500 x1
3 Tb 0.000 0.500 0.250 x4
4 Dy 0.500 0.500 0.000 x1
5 Er 0.500 0.500 0.500 x1

---

Model B:
VASP calculation (GGA-PBE) on a relaxed Tb6DyEr crystal.

Volume = 255.6 Å³ per cell
Fermi-level density of states = 1.73 states/eV/atom

Lattice parameters (Å, degrees): 6.513 6.719 6.904 118.94 102.88 90.06
Space group P-1 (No. 2)
Symmetry-distinct sites (fractional):
1 Tb 0.230 0.075 0.480 x2
2 Tb 0.251 0.050 0.001 x2
3 Tb 0.270 0.596 0.523 x2
4 Dy 0.000 0.500 0.000 x1
5 Er 0.500 0.500 0.000 x1

---

Which structure is the least stable? The one labeled model B.

---

Model A:
VASP calculation (GGA-PBE) on a relaxed Tb2Dy5Er3 crystal.

Volume = 1287.5 Å³ per cell
Fermi-level density of states = 1.54 states/eV/atom

Lattice parameters (Å, degrees): 11.034 17.522 6.659 90.00 90.00 90.00
Space group Ibam (No. 72)
Symmetry-distinct sites (fractional):
1 Tb 0.235 0.025 0.000 x8
2 Dy 0.000 0.183 0.250 x8
3 Dy 0.000 0.500 0.250 x4
4 Dy 0.102 0.330 0.500 x8
5 Er 0.000 0.000 0.250 x4
6 Er 0.209 0.328 0.000 x8

---

Model B:
VASP calculation (GGA-PBE) on a relaxed Tb2Dy5Er3 crystal.

Volume = 1286.9 Å³ per cell
Fermi-level density of states = 1.89 states/eV/atom

Lattice parameters (Å, degrees): 10.593 15.597 9.396 90.00 124.00 90.00
Space group C2/c (No. 15)
Symmetry-distinct sites (fractional):
1 Tb 0.141 0.124 0.047 x8
2 Dy 0.000 0.232 0.250 x4
3 Dy 0.000 0.272 0.750 x4
4 Dy 0.000 0.470 0.750 x4
5 Dy 0.233 0.383 0.219 x8
6 Er 0.000 0.025 0.250 x4
7 Er 0.157 0.380 0.548 x8

---

Which structure is the least stable? The one labeled model A.

---

Model A:
VASP calculation (GGA-PBE) on a relaxed Tb3DyEr4 crystal.

Volume = 510.6 Å³ per cell
Fermi-level density of states = 1.40 states/eV/atom

Lattice parameters (Å, degrees): 5.587 25.966 3.520 90.00 90.00 90.00
Space group Cmmm (No. 65)
Symmetry-distinct sites (fractional):
1 Tb 0.000 0.000 0.000 x2
2 Tb 0.000 0.155 0.500 x4
3 Dy 0.000 0.500 0.500 x2
4 Er 0.000 0.277 0.000 x4
5 Er 0.000 0.396 0.000 x4

---

Model B:
VASP calculation (GGA-PBE) on a relaxed Tb3DyEr4 crystal.

Volume = 502.7 Å³ per cell
Fermi-level density of states = 1.62 states/eV/atom

Lattice parameters (Å, degrees): 11.164 7.217 6.240 90.00 90.00 90.00
Space group Pmn2_1 (No. 31)
Symmetry-distinct sites (fractional):
1 Tb 0.000 0.126 0.000 x2
2 Tb 0.250 0.126 0.334 x4
3 Dy 0.000 0.874 0.500 x2
4 Er 0.000 0.377 0.501 x2
5 Er 0.000 0.624 0.001 x2
6 Er 0.250 0.376 0.833 x4

---

Which structure is the least stable? The one labeled model A.

---

Model A:
VASP calculation (GGA-PBE) on a relaxed Tb6DyEr3 crystal.

Volume = 1273.3 Å³ per cell
Fermi-level density of states = 1.39 states/eV/atom

Lattice parameters (Å, degrees): 10.946 18.902 6.154 90.00 90.00 90.00
Space group Cmc2_1 (No. 36)
Symmetry-distinct sites (fractional):
1 Tb 0.000 0.046 0.000 x4
2 Tb 0.000 0.281 0.273 x4
3 Tb 0.165 0.455 0.381 x8
4 Tb 0.244 0.290 0.557 x8
5 Dy 0.000 0.205 0.777 x4
6 Er 0.000 0.389 0.845 x4
7 Er 0.170 0.110 0.460 x8

---

Model B:
VASP calculation (GGA-PBE) on a relaxed Tb6DyEr3 crystal.

Volume = 1267.9 Å³ per cell
Fermi-level density of states = 1.57 states/eV/atom

Lattice parameters (Å, degrees): 9.602 20.853 6.332 90.00 90.00 90.00
Space group Cmc2_1 (No. 36)
Symmetry-distinct sites (fractional):
1 Tb 0.000 0.016 0.000 x4
2 Tb 0.000 0.301 0.030 x4
3 Tb 0.176 0.281 0.491 x8
4 Tb 0.181 0.440 0.248 x8
5 Dy 0.000 0.161 0.804 x4
6 Er 0.000 0.419 0.725 x4
7 Er 0.169 0.126 0.330 x8

---

Which structure is the least stable? The one labeled model A.